1.
Entry from the Alexandria database: a crystal of CrReSb relaxed with PBEsol (meta-GGA SCAN).

Total energy: -41.75 eV per atom
Size of the total moment: 4.0 μB/cell
Density of states at the Fermi level: 3.6 states/eV/cell
Raw formation energy: 501 meV per atom

a b c (Å): 2.998 3.720 8.285
angles (deg): 90.00 90.00 90.00
Space group Imm2 (No. 44)
One atom of each set of equivalent atoms:
Cr: 0.000 0.000 0.000 x2
Re: 0.000 0.000 0.650 x2
Sb: 0.000 0.000 0.325 x2



2.
Entry from the Alexandria database: a crystal of CrRe2Sb relaxed with PBEsol (meta-GGA SCAN).

Total energy: -48.96 eV per atom
Size of the total moment: 0.0 μB/cell
Density of states at the Fermi level: 4.4 states/eV/cell
Raw formation energy: 499 meV per atom

a b c (Å): 3.168 4.265 8.853
angles (deg): 90.00 90.00 90.00
Space group Immm (No. 71)
One atom of each set of equivalent atoms:
Cr: 0.000 0.000 0.000 x2
Re: 0.000 0.500 0.248 x4
Sb: 0.000 0.000 0.500 x2



3.
Entry from the Alexandria database: a crystal of CrReSb relaxed with PBEsol (meta-GGA SCAN).

Total energy: -41.84 eV per atom
Size of the total moment: 0.0 μB/cell
Density of states at the Fermi level: 3.3 states/eV/cell
Raw formation energy: 412 meV per atom

a b c (Å): 5.995 5.995 5.995
angles (deg): 90.00 90.00 90.00
Space group F-43m (No. 216)
One atom of each set of equivalent atoms:
Cr: 0.000 0.000 0.000 x4
Re: 0.250 0.250 0.750 x4
Sb: 0.000 0.000 0.500 x4



4.
Entry from the Alexandria database: a crystal of ScCrRe relaxed with PBEsol (meta-GGA SCAN).

Total energy: -34.62 eV per atom
Energy of formation from the pure elements: -0.05 eV per atom
Size of the total moment: 0.0 μB/cell
Density of states at the Fermi level: 4.2 states/eV/cell

a b c (Å): 3.025 3.025 9.887
angles (deg): 90.00 90.00 90.00
Space group I4mm (No. 107)
One atom of each set of equivalent atoms:
Sc: 0.000 0.000 0.000 x2
Cr: 0.000 0.000 0.682 x2
Re: 0.000 0.000 0.311 x2



5.
Entry from the Alexandria database: a crystal of ScCr4Re relaxed with PBEsol (meta-GGA SCAN).

Total energy: -26.43 eV per atom
Energy of formation from the pure elements: 0.04 eV per atom
Size of the total moment: 0.0 μB/cell
Density of states at the Fermi level: 16.9 states/eV/cell

a b c (Å): 6.790 6.790 6.790
angles (deg): 90.00 90.00 90.00
Space group F-43m (No. 216)
One atom of each set of equivalent atoms:
Sc: 0.000 0.000 0.000 x4
Cr: 0.124 0.124 0.624 x16
Re: 0.250 0.250 0.250 x4



6.
Entry from the Alexandria database: a crystal of ScCrRe relaxed with PBEsol (meta-GGA SCAN).

Total energy: -34.08 eV per atom
Energy of formation from the pure elements: 0.49 eV per atom
Size of the total moment: 0.0 μB/cell
Density of states at the Fermi level: 11.5 states/eV/cell

a b c (Å): 5.848 5.848 5.848
angles (deg): 90.00 90.00 90.00
Space group F-43m (No. 216)
One atom of each set of equivalent atoms:
Sc: 0.000 0.000 0.000 x4
Cr: 0.250 0.250 0.250 x4
Re: 0.000 0.000 0.500 x4